No. 1
Compound: LaZrCu2
Source: Alexandria
Functional: GGA-PBE
Structure: optimized geometry

Cell and atoms, written as POSCAR:
```
LaZrCu2
1.0
6.963 0.000 0.000
0.000 6.978 0.000
-0.006 0.000 3.384
La Zr Cu
2 2 4
Direct
0.000 0.000 0.000
0.500 0.500 0.000
0.000 0.500 0.000
0.500 0.000 0.000
0.250 0.250 0.500
0.250 0.750 0.500
0.750 0.250 0.500
0.750 0.750 0.500
```

Calculated values
* SG: C2/m
* volume: 164.44 Å³ per cell
* calculated density: 7.21 Mg/m³
* energy relative to the elements: -0.15 kcal/mol of atoms
* energy above the most stable polymorph in this dataset: 87 meV/atom
* crystal system: monoclinic
* DOS at the Fermi energy: 1.021 states/eV per atom

No. 2
Compound: La2ZrCu
Source: Alexandria
Functional: GGA-PBE
Structure: optimized geometry

Cell and atoms, written as POSCAR:
```
La2ZrCu
1.0
3.519 0.000 0.000
-1.759 3.047 0.000
0.000 0.000 10.135
La Zr Cu
2 1 1
Direct
0.333 0.667 0.274
0.667 0.333 0.726
0.000 0.000 0.000
0.000 0.000 0.500
```

Calculated values
* SG: P-3m1
* volume: 108.66 Å³ per cell
* calculated density: 6.61 Mg/m³
* energy relative to the elements: 4.52 kcal/mol of atoms
* energy above the most stable polymorph in this dataset: 208 meV/atom
* crystal system: trigonal
* DOS at the Fermi energy: 0.884 states/eV per atom

No. 3
Compound: LaZrCu2
Source: Alexandria
Functional: GGA-PBE
Structure: optimized geometry

Cell and atoms, written as POSCAR:
```
LaZrCu2
1.0
3.597 0.000 0.000
-1.798 3.115 0.000
0.000 0.000 23.854
La Zr Cu
3 3 6
Direct
0.000 0.000 0.000
0.333 0.667 0.667
0.667 0.333 0.333
0.000 0.000 0.500
0.333 0.667 0.167
0.667 0.333 0.833
0.000 0.000 0.240
0.000 0.000 0.760
0.333 0.667 0.427
0.333 0.667 0.907
0.667 0.333 0.093
0.667 0.333 0.573
```

Calculated values
* SG: R-3m
* volume: 267.28 Å³ per cell
* calculated density: 6.66 Mg/m³
* energy relative to the elements: 3.77 kcal/mol of atoms
* energy above the most stable polymorph in this dataset: 258 meV/atom
* crystal system: trigonal
* DOS at the Fermi energy: 1.057 states/eV per atom

No. 4
Compound: LaZrCu2
Source: Alexandria
Functional: GGA-PBE
Structure: optimized geometry

Cell and atoms, written as POSCAR:
```
LaZrCu2
1.0
7.624 0.000 0.000
0.000 7.624 0.000
0.000 0.000 6.063
La Zr Cu
4 4 8
Direct
0.000 0.000 0.000
0.000 0.500 0.250
0.500 0.000 0.750
0.500 0.500 0.500
0.000 0.000 0.500
0.000 0.500 0.750
0.500 0.000 0.250
0.500 0.500 0.000
0.220 0.250 0.625
0.250 0.720 0.875
0.250 0.780 0.375
0.280 0.250 0.125
0.720 0.750 0.125
0.750 0.220 0.375
0.750 0.280 0.875
0.780 0.750 0.625
```

Calculated values
* SG: I-42d
* volume: 352.42 Å³ per cell
* calculated density: 6.73 Mg/m³
* energy relative to the elements: 6.78 kcal/mol of atoms
* energy above the most stable polymorph in this dataset: 388 meV/atom
* crystal system: tetragonal
* DOS at the Fermi energy: 1.212 states/eV per atom

No. 5
Compound: LaZrCu2
Source: Alexandria
Functional: GGA-PBE
Structure: optimized geometry

Cell and atoms, written as POSCAR:
```
LaZrCu2
1.0
3.356 0.000 0.000
0.000 3.356 0.000
0.000 0.000 7.290
La Zr Cu
1 1 2
Direct
0.000 0.000 0.000
0.500 0.500 0.347
0.000 0.000 0.560
0.500 0.500 0.718
```

Calculated values
* SG: P4mm
* volume: 82.11 Å³ per cell
* calculated density: 7.22 Mg/m³
* energy relative to the elements: 0.47 kcal/mol of atoms
* energy above the most stable polymorph in this dataset: 114 meV/atom
* crystal system: tetragonal
* DOS at the Fermi energy: 0.739 states/eV per atom

No. 6
Compound: La2ZrCu
Source: Alexandria
Functional: GGA-PBE
Structure: optimized geometry

Cell and atoms, written as POSCAR:
```
La2ZrCu
1.0
4.557 0.000 0.000
0.000 4.557 0.000
0.000 0.000 9.894
La Zr Cu
4 2 2
Direct
0.000 0.000 0.000
0.000 0.500 0.250
0.500 0.000 0.750
0.500 0.500 0.500
0.000 0.500 0.750
0.500 0.000 0.250
0.000 0.000 0.500
0.500 0.500 0.000
```

Calculated values
* SG: I-4m2
* volume: 205.49 Å³ per cell
* calculated density: 6.99 Mg/m³
* energy relative to the elements: 5.04 kcal/mol of atoms
* energy above the most stable polymorph in this dataset: 230 meV/atom
* crystal system: tetragonal
* DOS at the Fermi energy: 1.436 states/eV per atom

No. 7
Compound: La2ZrCu
Source: Alexandria
Functional: GGA-PBE
Structure: optimized geometry

Cell and atoms, written as POSCAR:
```
La2ZrCu
1.0
3.550 0.000 0.000
0.000 3.550 0.000
0.000 0.000 8.580
La Zr Cu
2 1 1
Direct
0.000 0.000 0.221
0.000 0.000 0.779
0.500 0.500 0.500
0.500 0.500 0.000
```

Calculated values
* SG: P4/mmm
* volume: 108.13 Å³ per cell
* calculated density: 6.64 Mg/m³
* energy relative to the elements: 1.06 kcal/mol of atoms
* energy above the most stable polymorph in this dataset: 58 meV/atom
* crystal system: tetragonal
* DOS at the Fermi energy: 1.140 states/eV per atom

No. 8
Compound: La2ZrCu
Source: Alexandria
Functional: GGA-PBE
Structure: optimized geometry

Cell and atoms, written as POSCAR:
```
La2ZrCu
1.0
3.585 0.000 0.000
0.000 5.435 0.000
0.000 0.000 10.714
La Zr Cu
4 2 2
Direct
0.000 0.000 0.220
0.000 0.000 0.780
0.500 0.500 0.280
0.500 0.500 0.720
0.000 0.500 0.000
0.500 0.000 0.500
0.000 0.500 0.500
0.500 0.000 0.000
```

Calculated values
* SG: Immm
* volume: 208.75 Å³ per cell
* calculated density: 6.88 Mg/m³
* energy relative to the elements: 5.08 kcal/mol of atoms
* energy above the most stable polymorph in this dataset: 232 meV/atom
* crystal system: orthorhombic
* DOS at the Fermi energy: 1.473 states/eV per atom

No. 9
Compound: La2ZrCu
Source: Alexandria
Functional: GGA-PBE
Structure: optimized geometry

Cell and atoms, written as POSCAR:
```
La2ZrCu
1.0
3.526 0.000 0.000
0.000 6.312 0.000
0.000 0.000 19.651
La Zr Cu
8 4 4
Direct
0.000 0.000 0.131
0.000 0.000 0.305
0.000 0.000 0.695
0.000 0.000 0.869
0.500 0.500 0.195
0.500 0.500 0.369
0.500 0.500 0.631
0.500 0.500 0.805
0.000 0.260 0.500
0.000 0.740 0.500
0.500 0.240 0.000
0.500 0.760 0.000
0.000 0.500 0.069
0.000 0.500 0.931
0.500 0.000 0.431
0.500 0.000 0.569
```

Calculated values
* SG: Immm
* volume: 437.44 Å³ per cell
* calculated density: 6.57 Mg/m³
* energy relative to the elements: 0.05 kcal/mol of atoms
* energy above the most stable polymorph in this dataset: 14 meV/atom
* crystal system: orthorhombic
* DOS at the Fermi energy: 0.990 states/eV per atom

No. 10
Compound: La2ZrCu
Source: Alexandria
Functional: GGA-PBE
Structure: optimized geometry

Cell and atoms, written as POSCAR:
```
La2ZrCu
1.0
3.468 0.000 0.000
0.000 5.309 0.000
0.000 0.000 5.440
La Zr Cu
2 1 1
Direct
0.000 0.000 0.000
0.500 0.000 0.500
0.000 0.500 0.500
0.500 0.500 0.000
```

Calculated values
* SG: Pmmm
* volume: 100.15 Å³ per cell
* calculated density: 7.17 Mg/m³
* energy relative to the elements: 5.75 kcal/mol of atoms
* energy above the most stable polymorph in this dataset: 261 meV/atom
* crystal system: orthorhombic
* DOS at the Fermi energy: 1.139 states/eV per atom

No. 11
Compound: La2ZrCu
Source: Alexandria
Functional: GGA-PBE
Structure: optimized geometry

Cell and atoms, written as POSCAR:
```
La2ZrCu
1.0
11.920 0.000 0.000
0.000 5.149 0.000
-0.056 0.000 3.639
La Zr Cu
4 2 2
Direct
0.000 0.000 0.000
0.204 0.500 0.491
0.500 0.500 0.000
0.704 0.000 0.491
0.416 0.000 0.495
0.916 0.500 0.495
0.256 0.000 0.988
0.756 0.500 0.988
```

Calculated values
* SG: Cm
* volume: 223.32 Å³ per cell
* calculated density: 6.43 Mg/m³
* energy relative to the elements: 1.53 kcal/mol of atoms
* energy above the most stable polymorph in this dataset: 78 meV/atom
* crystal system: monoclinic
* DOS at the Fermi energy: 1.237 states/eV per atom

No. 12
Compound: La2ZrCu
Source: Alexandria
Functional: GGA-PBE
Structure: optimized geometry

Cell and atoms, written as POSCAR:
```
La2ZrCu
1.0
12.487 0.000 0.000
0.000 3.543 0.000
-2.310 0.000 4.849
La Zr Cu
4 2 2
Direct
0.000 0.000 0.000
0.206 0.000 0.705
0.500 0.500 0.000
0.706 0.500 0.705
0.288 0.500 0.286
0.788 0.000 0.286
0.469 0.000 0.470
0.969 0.500 0.470
```

Calculated values
* SG: Cm
* volume: 214.55 Å³ per cell
* calculated density: 6.70 Mg/m³
* energy relative to the elements: 0.57 kcal/mol of atoms
* energy above the most stable polymorph in this dataset: 37 meV/atom
* crystal system: monoclinic
* DOS at the Fermi energy: 1.067 states/eV per atom